Here is SbTe2HO after structural relaxation from the Alexandria database. Energies are from PBEsol.

Summary:
Uncorrected energy: -17.41 eV/f.u.
DOS(E_F): 0.67 states/eV/atom
Magnetization: 0.71 μB per cell

extended XYZ file:
```
5
Lattice="4.7769 0.0000 0.0000 0.0000 4.7769 0.0000 0.0000 0.0000 4.6493" Properties=species:S:1:pos:R:3 pbc="T T T"
Sb 0.0000 0.0000 0.0000
Te 0.0000 2.3884 2.3246
Te 2.3884 0.0000 2.3246
H 2.3884 2.3884 0.0000
O 0.0000 0.0000 2.3246
```